{
  "formula": "MnCuOF2",
  "functional": "GGA+U",
  "state": "relaxed",
  "e_tot_ev_per_atom": -4.53,
  "magmom_total_mub_per_fu": 3.90,
  "spacegroup": "No. 123",
  "lattice_angstrom": [[-1.035, 3.961, -2.255], [-3.324, -1.101, -0.408], [-1.163, 2.007, 4.058]],
  "species": ["Mn", "O", "Cu", "F", "F"],
  "fractional_positions": [[0.000, 0.500, 0.000], [0.000, 0.000, 0.000], [0.500, 0.500, 0.500], [0.000, 0.000, 0.500], [0.500, 0.000, 0.000]]
}